(1)
# meta-GGA SCAN Pb2WAu, single point on PBEsol structure
data_Pb2WAu
_chemical_formula_sum 'Pb2 W1 Au1'
_space_group_name_H-M_alt 'P 1'
_space_group_IT_number 1
_cell_length_a 2.960
_cell_length_b 5.106
_cell_length_c 5.586
_cell_angle_alpha 90.00
_cell_angle_beta 90.88
_cell_angle_gamma 90.00
loop_
_space_group_symop_operation_xyz
'x,y,z'
loop_
_atom_site_label
_atom_site_fract_x
_atom_site_fract_y
_atom_site_fract_z
Au1 0.000 0.500 0.500
Pb1 0.751 0.000 0.752
Pb2 0.249 0.000 0.248
W1 0.500 0.500 0.000
# - energy above the lowest structure with this stoichiometry (meV per atom) = 147
# - magnetic moment (μB/f.u.) = 0.0


(2)
# meta-GGA SCAN Pb2WAu, single point on PBEsol structure
data_Pb2WAu
_chemical_formula_sum 'Pb2 W1 Au1'
_space_group_name_H-M_alt 'P 1'
_space_group_IT_number 1
_cell_length_a 3.050
_cell_length_b 3.050
_cell_length_c 10.882
_cell_angle_alpha 81.94
_cell_angle_beta 81.94
_cell_angle_gamma 60.00
loop_
_space_group_symop_operation_xyz
'x,y,z'
loop_
_atom_site_label
_atom_site_fract_x
_atom_site_fract_y
_atom_site_fract_z
Au1 0.000 0.000 0.000
Pb1 0.245 0.245 0.266
Pb2 0.755 0.755 0.734
W1 0.500 0.500 0.500
# - energy above the lowest structure with this stoichiometry (meV per atom) = 0
# - magnetic moment (μB/f.u.) = 0.0


(3)
# meta-GGA SCAN Y3PbAu, single point on PBEsol structure
data_Y3PbAu
_chemical_formula_sum 'Y3 Pb1 Au1'
_space_group_name_H-M_alt 'P 1'
_space_group_IT_number 1
_cell_length_a 5.409
_cell_length_b 5.409
_cell_length_c 5.409
_cell_angle_alpha 90.00
_cell_angle_beta 90.00
_cell_angle_gamma 90.00
loop_
_space_group_symop_operation_xyz
'x,y,z'
loop_
_atom_site_label
_atom_site_fract_x
_atom_site_fract_y
_atom_site_fract_z
Pb1 0.500 0.500 0.500
Y1 0.000 0.500 0.000
Y2 0.000 0.000 0.500
Y3 0.500 0.000 0.000
Au1 0.000 0.000 0.000
# - magnetic moment (μB/f.u.) = 0.0


(4)
# meta-GGA SCAN YPb2Au, single point on PBEsol structure
data_YPb2Au
_chemical_formula_sum 'Y1 Pb2 Au1'
_space_group_name_H-M_alt 'P 1'
_space_group_IT_number 1
_cell_length_a 3.783
_cell_length_b 3.783
_cell_length_c 6.910
_cell_angle_alpha 90.00
_cell_angle_beta 90.00
_cell_angle_gamma 90.00
loop_
_space_group_symop_operation_xyz
'x,y,z'
loop_
_atom_site_label
_atom_site_fract_x
_atom_site_fract_y
_atom_site_fract_z
Au1 0.500 0.500 0.500
Pb1 0.000 0.000 0.723
Pb2 0.000 0.000 0.277
Y1 0.500 0.500 0.000
# - magnetic moment (μB/f.u.) = 0.0


(5)
# meta-GGA SCAN ZnPbAu2, single point on PBEsol structure
data_ZnPbAu2
_chemical_formula_sum 'Zn1 Pb1 Au2'
_space_group_name_H-M_alt 'P 1'
_space_group_IT_number 1
_cell_length_a 4.234
_cell_length_b 4.234
_cell_length_c 5.202
_cell_angle_alpha 114.02
_cell_angle_beta 114.02
_cell_angle_gamma 90.00
loop_
_space_group_symop_operation_xyz
'x,y,z'
loop_
_atom_site_label
_atom_site_fract_x
_atom_site_fract_y
_atom_site_fract_z
Au1 0.750 0.250 0.500
Au2 0.250 0.750 0.500
Pb1 0.500 0.500 0.000
Zn1 0.000 0.000 0.000
# - energy above the lowest structure with this stoichiometry (meV per atom) = 220
# - magnetic moment (μB/f.u.) = 0.0


(6)
# meta-GGA SCAN Zn2Pb2Au, single point on PBEsol structure
data_Zn2Pb2Au
_chemical_formula_sum 'Zn2 Pb2 Au1'
_space_group_name_H-M_alt 'P 1'
_space_group_IT_number 1
_cell_length_a 3.503
_cell_length_b 3.503
_cell_length_c 9.333
_cell_angle_alpha 100.82
_cell_angle_beta 100.82
_cell_angle_gamma 90.00
loop_
_space_group_symop_operation_xyz
'x,y,z'
loop_
_atom_site_label
_atom_site_fract_x
_atom_site_fract_y
_atom_site_fract_z
Pb1 0.400 0.400 0.800
Pb2 0.600 0.600 0.200
Zn1 0.250 0.750 0.500
Zn2 0.750 0.250 0.500
Au1 0.000 0.000 0.000
# - magnetic moment (μB/f.u.) = 0.0


Number 1: DOS(E_F) 0.567 states/eV per atom, energy of formation 0.96 eV/atom, volume 21.103 A^3/atom. Number 2: DOS(E_F) 0.546 states/eV per atom, energy of formation 0.81 eV/atom, volume 21.625 A^3/atom. Number 3: DOS(E_F) 1.125 states/eV per atom, energy of formation -0.53 eV/atom, volume 31.657 A^3/atom. Number 4: DOS(E_F) 0.836 states/eV per atom, energy of formation -0.24 eV/atom, volume 24.724 A^3/atom. Number 5: DOS(E_F) 0.306 states/eV per atom, energy of formation 0.10 eV/atom, volume 19.068 A^3/atom. Number 6: DOS(E_F) 0.453 states/eV per atom, energy of formation 0.13 eV/atom, volume 22.090 A^3/atom.